# 1
Entry from the Alexandria database: a PBEsol-optimized structure of LaCdSb (meta-GGA SCAN).

It has space group Imm2 (No. 44), with a = 3.458 Å, b = 4.217 Å, c = 11.062 Å, α = 90.00°, β = 90.00° and γ = 90.00°. The distinct sites, in fractional coordinates, are La at (0.000, 0.000, 0.000), Cd at (0.000, 0.000, 0.320) and Sb at (0.000, 0.000, 0.680).

The raw total energy is -1.379 Ha/atom. The excess energy over the best structure of this formula in the dataset comes out at 0.000 eV per atom. The uncorrected formation energy is -13.57 kcal/mol of atoms.

=====

# 2
Entry from the Alexandria database: a PBEsol-optimized structure of LaCdSb2 (meta-GGA SCAN).

It has space group P4/mmm (No. 123), with a = 4.072 Å, b = 4.072 Å, c = 6.493 Å, α = 90.00°, β = 90.00° and γ = 90.00°. The distinct sites, in fractional coordinates, are La at (0.000, 0.000, 0.000), Cd at (0.000, 0.000, 0.500) and Sb at (0.500, 0.500, 0.261).

The raw total energy is -1.380 Ha/atom. The uncorrected formation energy is -12.56 kcal/mol of atoms.

=====

# 3
Entry from the Alexandria database: a PBEsol-optimized structure of LaCdSb (meta-GGA SCAN).

It has space group I4mm (No. 107), with a = 4.222 Å, b = 4.222 Å, c = 9.491 Å, α = 90.00°, β = 90.00° and γ = 90.00°. The distinct sites, in fractional coordinates, are La at (0.000, 0.000, 0.000), Cd at (0.000, 0.000, 0.327) and Sb at (0.000, 0.000, 0.654).

The raw total energy is -1.378 Ha/atom. The excess energy over the best structure of this formula in the dataset comes out at 0.008 eV per atom. The uncorrected formation energy is -13.38 kcal/mol of atoms.

=====

- raw total energy of number 3 (LaCdSb)?
  -1.378 Ha/atom